No. 1
## HoTmMg4 (PBE)

Data for a geometry-optimized HoTmMg4 structure.

Lattice parameters (Å, degrees): 6.0045 6.0045 6.0045 60.00 60.00 60.00
Closest atoms and distances in Å follow each position.
Fractional positions:
1 Ho 0.0000 0.0000 0.0000  12 Mg 3.52, 4 Tm 3.68
2 Tm 0.7500 0.7500 0.7500  12 Mg 3.52, 4 Ho 3.68
3 Mg 0.3750 0.3750 0.3750  6 Mg 3.00
4 Mg 0.3750 0.3750 0.8750  6 Mg 3.00
5 Mg 0.3750 0.8750 0.3750  6 Mg 3.00
6 Mg 0.8750 0.3750 0.3750  6 Mg 3.00

polymorph energy (0 for the lowest one) = 0 meV/atom

---

No. 2
## HoTmMg4 (PBE)

Data for a geometry-optimized HoTmMg4 structure.

Lattice parameters (Å, degrees): 7.0720 7.0720 6.7514 103.73 103.73 27.94
Closest atoms and distances in Å follow each position.
Fractional positions:
1 Ho 0.0000 0.0000 0.0000  8 Mg 3.34, 2 Tm 3.38, 2 Ho 3.41
2 Tm 0.0000 0.0000 0.5000  8 Mg 3.33-3.34, 2 Ho 3.38, 2 Tm 3.41
3 Mg 0.3257 0.3257 0.1632  8 Mg 3.14-3.41, 2 Ho 3.34, 2 Tm 3.34
4 Mg 0.3261 0.3261 0.6621  8 Mg 3.14-3.41, 2 Tm 3.33, 2 Ho 3.34
5 Mg 0.6739 0.6739 0.3379  8 Mg 3.14-3.41, 2 Tm 3.33, 2 Ho 3.34
6 Mg 0.6743 0.6743 0.8368  8 Mg 3.14-3.41, 2 Ho 3.34, 2 Tm 3.34

polymorph energy (0 for the lowest one) = 18 meV/atom

---

No. 3
## Ho2TmMg5 (PBE)

Data for a geometry-optimized Ho2TmMg5 structure.

Lattice parameters (Å, degrees): 8.3795 8.3795 8.3795 143.62 143.62 52.40
Closest atoms and distances in Å follow each position.
Fractional positions:
1 Ho 0.2452 0.2452 0.0000  8 Mg 3.23-3.32
2 Ho 0.7548 0.7548 0.0000  8 Mg 3.23-3.32
3 Tm 0.5000 0.5000 0.0000  8 Mg 3.17
4 Mg 0.0000 0.0000 0.0000  8 Mg 3.17
5 Mg 0.1192 0.6192 0.5000  2 Mg 3.17, 2 Tm 3.17, 4 Ho 3.23-3.32
6 Mg 0.3808 0.8808 0.5000  2 Tm 3.17, 2 Mg 3.17, 4 Ho 3.23-3.32
7 Mg 0.6192 0.1192 0.5000  2 Mg 3.17, 2 Tm 3.17, 4 Ho 3.23-3.32
8 Mg 0.8808 0.3808 0.5000  2 Tm 3.17, 2 Mg 3.17, 4 Ho 3.23-3.32

---

No. 4
## HoTm2Mg (PBE)

Data for a geometry-optimized HoTm2Mg structure.

Lattice parameters (Å, degrees): 4.9842 4.9842 9.8974 104.50 104.50 90.09
Closest atoms and distances in Å follow each position.
Fractional positions:
1 Ho 0.1294 0.1294 0.2590  4 Mg 3.34-3.35, 8 Tm 3.46-3.53
2 Ho 0.8706 0.8706 0.7410  4 Mg 3.34-3.35, 8 Tm 3.46-3.53
3 Tm 0.0000 0.5000 0.0000  4 Ho 3.46, 8 Tm 3.47-3.53
4 Tm 0.3697 0.3697 0.7390  4 Mg 3.33, 4 Tm 3.47, 4 Ho 3.52-3.53
5 Tm 0.5000 0.0000 0.0000  4 Ho 3.46, 8 Tm 3.47-3.53
6 Tm 0.6303 0.6303 0.2610  4 Mg 3.33, 4 Tm 3.47, 4 Ho 3.52-3.53
7 Mg 0.2500 0.7500 0.5000  4 Tm 3.33, 4 Ho 3.34-3.35, 4 Mg 3.52-3.53
8 Mg 0.7500 0.2500 0.5000  4 Tm 3.33, 4 Ho 3.34-3.35, 4 Mg 3.52-3.53

polymorph energy (0 for the lowest one) = 0 meV/atom

---

No. 5
## Ho4Tm5Mg2 (PBE)

Data for a geometry-optimized Ho4Tm5Mg2 structure.

Lattice parameters (Å, degrees): 3.4480 8.0417 11.9157 90.48 90.02 102.30
Closest atoms and distances in Å follow each position.
Fractional positions:
1 Ho 0.0551 0.1088 0.2947  4 Mg 3.43-3.46, 4 Ho 3.45-3.65, 5 Tm 3.55-3.61
2 Ho 0.3677 0.7359 0.1818  1 Mg 3.35, 7 Tm 3.42-3.52, 4 Ho 3.45-3.65
3 Ho 0.6323 0.2641 0.8182  1 Mg 3.35, 7 Tm 3.42-3.52, 4 Ho 3.45-3.65
4 Ho 0.9449 0.8912 0.7053  4 Mg 3.43-3.46, 4 Ho 3.45-3.65, 5 Tm 3.55-3.61
5 Tm 0.0000 0.0000 0.0000  6 Tm 3.45-3.54, 6 Ho 3.47-3.61
6 Tm 0.2559 0.5121 0.6285  3 Mg 3.20-3.31, 5 Tm 3.39-3.52, 4 Ho 3.46-3.56
7 Tm 0.3174 0.6342 0.9019  7 Tm 3.39-3.60, 5 Ho 3.42-3.55
8 Tm 0.6826 0.3658 0.0981  7 Tm 3.39-3.60, 5 Ho 3.42-3.55
9 Tm 0.7441 0.4879 0.3715  3 Mg 3.20-3.31, 5 Tm 3.39-3.52, 4 Ho 3.46-3.56
10 Mg 0.4116 0.8241 0.4570  1 Mg 2.94, 1 Tm 3.20
11 Mg 0.5884 0.1759 0.5430  1 Mg 2.94, 1 Tm 3.20

polymorph energy (0 for the lowest one) = 0 meV/atom

---

No. 6
## Ho8TmMg2 (PBE)

Data for a geometry-optimized Ho8TmMg2 structure.

Lattice parameters (Å, degrees): 8.6152 8.6152 8.3418 114.46 114.46 35.80
Closest atoms and distances in Å follow each position.
Fractional positions:
1 Ho 0.0574 0.0574 0.2344  1 Mg 3.27, 7 Ho 3.39-3.60
2 Ho 0.1459 0.1459 0.7005  3 Mg 3.22-3.28, 3 Ho 3.47-3.60, 2 Tm 3.47
3 Ho 0.3121 0.3121 0.5488  1 Mg 3.16, 5 Ho 3.22-3.47, 1 Tm 3.28
4 Ho 0.4004 0.4004 0.0301  3 Mg 3.27-3.28, 4 Ho 3.51-3.63, 1 Tm 3.53
5 Ho 0.5996 0.5996 0.9699  3 Mg 3.27-3.28, 4 Ho 3.51-3.63, 1 Tm 3.53
6 Ho 0.6879 0.6879 0.4512  1 Mg 3.16, 5 Ho 3.22-3.47, 1 Tm 3.28
7 Ho 0.8541 0.8541 0.2995  3 Mg 3.22-3.28, 3 Ho 3.47-3.60, 2 Tm 3.47
8 Ho 0.9426 0.9426 0.7656  1 Mg 3.27, 7 Ho 3.39-3.60
9 Tm 0.5000 0.5000 0.5000  8 Ho 3.28-3.53
10 Mg 0.2274 0.2274 0.1278  8 Ho 3.16-3.28
11 Mg 0.7726 0.7726 0.8722  8 Ho 3.16-3.28

polymorph energy (0 for the lowest one) = 0 meV/atom

---

No. 7
## Ho4TmMg (PBE)

Data for a geometry-optimized Ho4TmMg structure.

Lattice parameters (Å, degrees): 6.0367 6.0367 11.7345 104.92 104.92 60.20
Closest atoms and distances in Å follow each position.
Fractional positions:
1 Ho 0.1646 0.6715 0.0002  2 Mg 3.44, 7 Ho 3.44-3.52, 3 Tm 3.47-3.52
2 Ho 0.2514 0.4143 0.2498  2 Tm 3.44-3.45, 7 Ho 3.45-3.49, 3 Mg 3.48-3.51
3 Ho 0.3285 0.8354 0.4998  2 Mg 3.44, 7 Ho 3.44-3.52, 3 Tm 3.47-3.52
4 Ho 0.4143 0.2514 0.7498  2 Tm 3.44-3.45, 7 Ho 3.45-3.49, 3 Mg 3.48-3.51
5 Ho 0.5857 0.7486 0.2502  2 Tm 3.44-3.45, 7 Ho 3.45-3.49, 3 Mg 3.48-3.51
6 Ho 0.6715 0.1646 0.5002  2 Mg 3.44, 7 Ho 3.44-3.52, 3 Tm 3.47-3.52
7 Ho 0.7486 0.5857 0.7502  2 Tm 3.44-3.45, 7 Ho 3.45-3.49, 3 Mg 3.48-3.51
8 Ho 0.8354 0.3285 0.9998  2 Mg 3.44, 7 Ho 3.44-3.52, 3 Tm 3.47-3.52
9 Tm 0.0000 0.5000 0.5000  10 Ho 3.44-3.52, 2 Mg 3.45
10 Tm 0.5000 0.0000 0.0000  10 Ho 3.44-3.52, 2 Mg 3.45
11 Mg 0.0837 0.9163 0.7500  10 Ho 3.44-3.51, 2 Tm 3.45
12 Mg 0.9163 0.0837 0.2500  10 Ho 3.44-3.51, 2 Tm 3.45

polymorph energy (0 for the lowest one) = 38 meV/atom

---

No. 8
## Ho5Tm2Mg5 (PBE)

Data for a geometry-optimized Ho5Tm2Mg5 structure.

Lattice parameters (Å, degrees): 6.4173 6.4173 10.7438 90.10 90.10 48.84
Closest atoms and distances in Å follow each position.
Fractional positions:
1 Ho 0.0000 0.0000 0.0000  2 Tm 3.37, 8 Mg 3.48-3.61, 4 Ho 3.62
2 Ho 0.3443 0.3443 0.5122  3 Mg 3.16-3.22, 4 Ho 3.43-3.48, 1 Tm 3.44
3 Ho 0.4779 0.4779 0.2279  4 Mg 3.14-3.43, 2 Ho 3.43-3.48, 2 Tm 3.49
4 Ho 0.5221 0.5221 0.7721  4 Mg 3.14-3.43, 2 Ho 3.43-3.48, 2 Tm 3.49
5 Ho 0.6557 0.6557 0.4878  3 Mg 3.16-3.22, 4 Ho 3.43-3.48, 1 Tm 3.44
6 Tm 0.1705 0.1705 0.2533  6 Mg 3.32-3.57, 7 Ho 3.37-3.66
7 Tm 0.8295 0.8295 0.7467  6 Mg 3.32-3.57, 7 Ho 3.37-3.66
8 Mg 0.0000 0.0000 0.5000  2 Mg 3.06, 4 Ho 3.22, 2 Tm 3.32
9 Mg 0.1591 0.1591 0.7264  2 Mg 3.06-3.11, 3 Ho 3.14-3.16, 2 Tm 3.32
10 Mg 0.3077 0.3077 0.9672  3 Mg 3.06-3.11, 1 Ho 3.27
11 Mg 0.6923 0.6923 0.0328  3 Mg 3.06-3.11, 1 Ho 3.27
12 Mg 0.8409 0.8409 0.2736  2 Mg 3.06-3.11, 3 Ho 3.14-3.16, 2 Tm 3.32

---

No. 9
## HoTm2Mg8 (PBE)

Data for a geometry-optimized HoTm2Mg8 structure.

Lattice parameters (Å, degrees): 8.3564 8.3564 8.3564 143.09 124.00 68.97
Closest atoms and distances in Å follow each position.
Fractional positions:
1 Ho 0.0000 0.0000 0.0000  8 Mg 3.06-3.38
2 Tm 0.2858 0.2858 0.0000  10 Mg 3.22-3.36
3 Tm 0.7142 0.7142 0.0000  10 Mg 3.22-3.36
4 Mg 0.1525 0.6525 0.5000  4 Mg 3.12-3.29, 2 Tm 3.22, 2 Ho 3.38
5 Mg 0.1774 0.8659 0.3115  4 Mg 2.96-3.29, 1 Ho 3.06, 3 Tm 3.22
6 Mg 0.2947 0.5000 0.7947  7 Mg 3.12-3.23, 2 Tm 3.36
7 Mg 0.4457 0.1341 0.3115  4 Mg 2.96-3.29, 1 Ho 3.06, 3 Tm 3.22
8 Mg 0.5543 0.8659 0.6885  4 Mg 2.96-3.29, 1 Ho 3.06, 3 Tm 3.22
9 Mg 0.7053 0.5000 0.2053  7 Mg 3.12-3.23, 2 Tm 3.36
10 Mg 0.8226 0.1341 0.6885  4 Mg 2.96-3.29, 1 Ho 3.06, 3 Tm 3.22
11 Mg 0.8475 0.3475 0.5000  4 Mg 3.12-3.29, 2 Tm 3.22, 2 Ho 3.38

---

No. 10
## Ho2TmMg9 (PBE)

Data for a geometry-optimized Ho2TmMg9 structure.

Lattice parameters (Å, degrees): 10.2605 10.2605 10.2605 34.12 34.12 34.12
Closest atoms and distances in Å follow each position.
Fractional positions:
1 Ho 0.1431 0.1431 0.1431  12 Mg 3.46-3.54, 3 Ho 3.73
2 Ho 0.8569 0.8569 0.8569  12 Mg 3.46-3.54, 3 Ho 3.73
3 Tm 0.0000 0.0000 0.0000  18 Mg 3.48-3.87
4 Mg 0.0790 0.5868 0.5868  7 Mg 2.96-3.06
5 Mg 0.3342 0.3342 0.3342  6 Mg 2.99-3.00
6 Mg 0.4132 0.4132 0.9210  7 Mg 2.96-3.06
7 Mg 0.4132 0.9210 0.4132  7 Mg 2.96-3.06
8 Mg 0.5000 0.5000 0.5000  6 Mg 2.97
9 Mg 0.5868 0.0790 0.5868  7 Mg 2.96-3.06
10 Mg 0.5868 0.5868 0.0790  7 Mg 2.96-3.06
11 Mg 0.6658 0.6658 0.6658  6 Mg 2.99-3.00
12 Mg 0.9210 0.4132 0.4132  7 Mg 2.96-3.06

polymorph energy (0 for the lowest one) = 39 meV/atom

---

No. 11
## HoTm3Mg4 (PBE)

Data for a geometry-optimized HoTm3Mg4 structure.

Lattice parameters (Å, degrees): 3.7556 3.7556 15.0605 90.00 90.00 90.00
Closest atoms and distances in Å follow each position.
Fractional positions:
1 Ho 0.0000 0.0000 0.0000  8 Mg 3.26
2 Tm 0.0000 0.0000 0.2504  8 Mg 3.25
3 Tm 0.0000 0.0000 0.5000  8 Mg 3.25
4 Tm 0.0000 0.0000 0.7496  8 Mg 3.25
5 Mg 0.5000 0.5000 0.1260  4 Tm 3.25, 4 Ho 3.26
6 Mg 0.5000 0.5000 0.3752  8 Tm 3.25
7 Mg 0.5000 0.5000 0.6248  8 Tm 3.25
8 Mg 0.5000 0.5000 0.8740  4 Tm 3.25, 4 Ho 3.26

polymorph energy (0 for the lowest one) = 0 meV/atom

---

No. 12
## Ho4Tm5Mg (PBE)

Data for a geometry-optimized Ho4Tm5Mg structure.

Lattice parameters (Å, degrees): 3.5045 3.5045 24.2353 90.00 90.00 90.00
Closest atoms and distances in Å follow each position.
Fractional positions:
1 Ho 0.0000 0.0000 0.1025  4 Ho 3.50, 8 Tm 3.51
2 Ho 0.0000 0.0000 0.3077  8 Tm 3.47-3.51, 4 Ho 3.50
3 Ho 0.0000 0.0000 0.6923  8 Tm 3.47-3.51, 4 Ho 3.50
4 Ho 0.0000 0.0000 0.8975  4 Ho 3.50, 8 Tm 3.51
5 Tm 0.5000 0.5000 0.0000  4 Tm 3.50, 8 Ho 3.51
6 Tm 0.5000 0.5000 0.2051  4 Tm 3.50, 8 Ho 3.51
7 Tm 0.5000 0.5000 0.4080  4 Mg 3.33, 4 Ho 3.47, 4 Tm 3.50
8 Tm 0.5000 0.5000 0.5920  4 Mg 3.33, 4 Ho 3.47, 4 Tm 3.50
9 Tm 0.5000 0.5000 0.7949  4 Tm 3.50, 8 Ho 3.51
10 Mg 0.0000 0.0000 0.5000  8 Tm 3.33, 4 Mg 3.50

---

| no. | DFT formation energy (kcal/mol of atoms) |
| --- | --- |
| 1 | -1.3 |
| 2 | -0.9 |
| 3 | -1.3 |
| 4 | -0.6 |
| 5 | 0.4 |
| 6 | 0.4 |
| 7 | 0.6 |
| 8 | 0.2 |
| 9 | 1.6 |
| 10 | -0.3 |
| 11 | -1.5 |
| 12 | 0.1 |